i | Compound: LiCaH
Source: Alexandria via LeMat-Bulk
Functional: PBE
Structure: relaxed

```
data_LiCaH
_chemical_formula_sum 'Li2 Ca2 H2'
_cell_length_a 3.827
_cell_length_b 3.828
_cell_length_c 8.362
_cell_angle_alpha 90.00
_cell_angle_beta 90.17
_cell_angle_gamma 90.00
_symmetry_space_group_name_H-M 'P 1 21/m 1'
_symmetry_Int_Tables_number 11
loop_
_symmetry_equiv_pos_as_xyz
'x,y,z'
'-x,-y,-z'
'-x,y+1/2,-z'
'x,-y+1/2,z'
loop_
_atom_site_label
_atom_site_type_symbol
_atom_site_fract_x
_atom_site_fract_y
_atom_site_fract_z
Li1 Li 0.250 0.250 0.064
Ca1 Ca 0.251 0.250 0.650
H1 H 0.250 0.750 0.500
```

Crystal system ... monoclinic
Calculated density ... 1.3 g cm⁻³
Total magnetization ... 0.1 μB per formula unit
D(E_F) ... 0.467 states/eV per atom

ii | Compound: LiCaH
Source: Alexandria via LeMat-Bulk
Functional: PBE
Structure: relaxed

```
data_LiCaH
_chemical_formula_sum 'Li1 Ca1 H1'
_cell_length_a 3.9379
_cell_length_b 3.9379
_cell_length_c 4.3110
_cell_angle_alpha 90.00
_cell_angle_beta 90.00
_cell_angle_gamma 120.00
_symmetry_space_group_name_H-M 'P -6 m 2'
_symmetry_Int_Tables_number 187
_symmetry_space_group_name_Hall 'P -6 2'
loop_
_atom_site_label
_atom_site_type_symbol
_atom_site_fract_x
_atom_site_fract_y
_atom_site_fract_z
Li1 Li 0.0000 0.0000 0.0000
Ca1 Ca 0.3333 0.6667 0.5000
H1 H 0.0000 0.0000 0.5000
```

Crystal system ... hexagonal
Calculated density ... 1.4 g cm⁻³
Total magnetization ... 0.0 μB per formula unit
D(E_F) ... 0.021 states/eV per atom

iii | Compound: LiCaH
Source: Alexandria via LeMat-Bulk
Functional: PBE
Structure: relaxed

```
data_LiCaH
_chemical_formula_sum 'Li1 Ca1 H1'
_cell_length_a 3.5471
_cell_length_b 3.5471
_cell_length_c 5.5279
_cell_angle_alpha 90.00
_cell_angle_beta 90.00
_cell_angle_gamma 120.00
_symmetry_space_group_name_H-M 'P 3 m 1'
_symmetry_Int_Tables_number 156
loop_
_symmetry_equiv_pos_as_xyz
'x,y,z'
'-y,x-y,z'
'-x+y,-x,z'
'-y,-x,z'
'-x+y,y,z'
'x,x-y,z'
loop_
_atom_site_label
_atom_site_type_symbol
_atom_site_fract_x
_atom_site_fract_y
_atom_site_fract_z
Li1 Li 0.0000 0.0000 0.0000
Ca1 Ca 0.6667 0.3333 0.5135
H1 H 0.3333 0.6667 0.7505
```

Crystal system ... trigonal
Calculated density ... 1.3 g cm⁻³
Total magnetization ... 0.1 μB per formula unit
D(E_F) ... 0.219 states/eV per atom

iv | Compound: LiCaH
Source: Alexandria via LeMat-Bulk
Functional: PBE
Structure: relaxed

```
data_LiCaH
_chemical_formula_sum 'Li2 Ca2 H2'
_cell_length_a 6.469
_cell_length_b 3.743
_cell_length_c 5.672
_cell_angle_alpha 90.00
_cell_angle_beta 112.49
_cell_angle_gamma 90.00
_symmetry_space_group_name_H-M 'C 1 m 1'
_symmetry_Int_Tables_number 8
loop_
_symmetry_equiv_pos_as_xyz
'x,y,z'
'x,-y,z'
'x+1/2,y+1/2,z'
'x+1/2,-y+1/2,z'
loop_
_atom_site_label
_atom_site_type_symbol
_atom_site_fract_x
_atom_site_fract_y
_atom_site_fract_z
Li1 Li 0.000 0.000 0.000
Ca1 Ca 0.004 0.500 0.517
H1 H 0.385 0.500 0.658
```

Crystal system ... monoclinic
Calculated density ... 1.3 g cm⁻³
Total magnetization ... 0.0 μB per formula unit
D(E_F) ... 0.251 states/eV per atom

Least stable structure: iii

i | Compound: LiCaH
Source: Alexandria via LeMat-Bulk
Functional: PBE
Structure: relaxed

```
data_LiCaH
_chemical_formula_sum 'Li1 Ca1 H1'
_cell_length_a 3.540
_cell_length_b 3.540
_cell_length_c 4.243
_cell_angle_alpha 90.00
_cell_angle_beta 90.00
_cell_angle_gamma 90.00
_symmetry_space_group_name_H-M 'P 4/m m m'
_symmetry_Int_Tables_number 123
_symmetry_space_group_name_Hall '-P 4 2'
loop_
_atom_site_label
_atom_site_type_symbol
_atom_site_fract_x
_atom_site_fract_y
_atom_site_fract_z
Li1 Li 0.000 0.000 0.000
Ca1 Ca 0.500 0.500 0.500
H1 H 0.000 0.000 0.500
```

Crystal system ... tetragonal
Calculated density ... 1.5 g cm⁻³
Total magnetization ... 0.0 μB per formula unit
D(E_F) ... 0.267 states/eV per atom

ii | Compound: LiCaH
Source: Alexandria via LeMat-Bulk
Functional: PBE
Structure: relaxed

```
data_LiCaH
_chemical_formula_sum 'Li2 Ca2 H2'
_cell_length_a 3.337
_cell_length_b 3.337
_cell_length_c 10.731
_cell_angle_alpha 90.00
_cell_angle_beta 90.00
_cell_angle_gamma 90.00
_symmetry_space_group_name_H-M 'I 4 m m'
_symmetry_Int_Tables_number 107
_symmetry_space_group_name_Hall 'I 4 -2'
loop_
_atom_site_label
_atom_site_type_symbol
_atom_site_fract_x
_atom_site_fract_y
_atom_site_fract_z
Li1 Li 0.000 0.000 0.000
Ca1 Ca 0.000 0.000 0.719
H1 H 0.000 0.000 0.173
```

Crystal system ... tetragonal
Calculated density ... 1.3 g cm⁻³
Total magnetization ... 0.0 μB per formula unit
D(E_F) ... 0.303 states/eV per atom

Least stable structure: ii

i | Compound: LiCa2H
Source: Alexandria via LeMat-Bulk
Functional: PBE
Structure: relaxed

```
data_LiCa2H
_chemical_formula_sum 'Li3 Ca6 H3'
_cell_length_a 3.7240
_cell_length_b 3.7240
_cell_length_c 24.9813
_cell_angle_alpha 90.00
_cell_angle_beta 90.00
_cell_angle_gamma 120.00
_symmetry_space_group_name_H-M 'R 3 m'
_symmetry_Int_Tables_number 160
_symmetry_space_group_name_Hall 'R 3 -2"'
loop_
_atom_site_label
_atom_site_type_symbol
_atom_site_fract_x
_atom_site_fract_y
_atom_site_fract_z
Li1 Li 0.0000 0.0000 0.0000
Ca1 Ca 0.0000 0.0000 0.2248
Ca2 Ca 0.0000 0.0000 0.4401
H1 H 0.0000 0.0000 0.8336
```

Crystal system ... trigonal
Calculated density ... 1.5 g cm⁻³
Total magnetization ... 0.0 μB per formula unit
D(E_F) ... 0.430 states/eV per atom

ii | Compound: LiCa2H
Source: Alexandria via LeMat-Bulk
Functional: PBE
Structure: relaxed

```
data_LiCa2H
_chemical_formula_sum 'Li3 Ca6 H3'
_cell_length_a 3.6348
_cell_length_b 3.6348
_cell_length_c 27.9877
_cell_angle_alpha 90.00
_cell_angle_beta 90.00
_cell_angle_gamma 120.00
_symmetry_space_group_name_H-M 'R -3 m'
_symmetry_Int_Tables_number 166
_symmetry_space_group_name_Hall '-R 3 2"'
loop_
_atom_site_label
_atom_site_type_symbol
_atom_site_fract_x
_atom_site_fract_y
_atom_site_fract_z
Li1 Li 0.0000 0.0000 0.0000
Ca1 Ca 0.0000 0.0000 0.1143
H1 H 0.0000 0.0000 0.5000
```

Crystal system ... trigonal
Calculated density ... 1.4 g cm⁻³
Total magnetization ... 0.0 μB per formula unit
D(E_F) ... 0.712 states/eV per atom

Least stable structure: ii

i | Compound: LiCa2H
Source: Alexandria via LeMat-Bulk
Functional: PBE
Structure: relaxed

```
data_LiCa2H
_chemical_formula_sum 'Li4 Ca8 H4'
_cell_length_a 6.893
_cell_length_b 6.893
_cell_length_c 8.764
_cell_angle_alpha 90.00
_cell_angle_beta 90.00
_cell_angle_gamma 90.00
_symmetry_space_group_name_H-M 'I -4 2 d'
_symmetry_Int_Tables_number 122
_symmetry_space_group_name_Hall 'I -4 2bw'
loop_
_atom_site_label
_atom_site_type_symbol
_atom_site_fract_x
_atom_site_fract_y
_atom_site_fract_z
Li1 Li 0.000 0.000 0.000
Ca1 Ca 0.140 0.250 0.625
H1 H 0.000 0.000 0.500
```

Crystal system ... tetragonal
Calculated density ... 1.4 g cm⁻³
Total magnetization ... 0.0 μB per formula unit
D(E_F) ... 0.114 states/eV per atom

ii | Compound: LiCa2H
Source: Alexandria via LeMat-Bulk
Functional: PBE
Structure: relaxed

```
data_LiCa2H
_chemical_formula_sum 'Li2 Ca4 H2'
_cell_length_a 4.124
_cell_length_b 7.389
_cell_length_c 8.026
_cell_angle_alpha 62.94
_cell_angle_beta 75.14
_cell_angle_gamma 89.99
_symmetry_space_group_name_H-M 'P -1'
_symmetry_Int_Tables_number 2
loop_
_symmetry_equiv_pos_as_xyz
'x,y,z'
'-x,-y,-z'
loop_
_atom_site_label
_atom_site_type_symbol
_atom_site_fract_x
_atom_site_fract_y
_atom_site_fract_z
Li1 Li 0.116 0.114 0.269
Ca1 Ca 0.191 0.690 0.118
Ca2 Ca 0.499 0.731 0.501
H1 H 0.389 0.389 0.722
```

Crystal system ... triclinic
Calculated density ... 1.4 g cm⁻³
Total magnetization ... 0.0 μB per formula unit
D(E_F) ... 0.621 states/eV per atom

iii | Compound: LiCa2H
Source: Alexandria via LeMat-Bulk
Functional: PBE
Structure: relaxed

```
data_LiCa2H
_chemical_formula_sum 'Li4 Ca8 H4'
_cell_length_a 7.442
_cell_length_b 7.442
_cell_length_c 7.442
_cell_angle_alpha 90.00
_cell_angle_beta 90.00
_cell_angle_gamma 90.00
_symmetry_space_group_name_H-M 'F m -3 m'
_symmetry_Int_Tables_number 225
_symmetry_space_group_name_Hall '-F 4 2 3'
loop_
_atom_site_label
_atom_site_type_symbol
_atom_site_fract_x
_atom_site_fract_y
_atom_site_fract_z
Li1 Li 0.000 0.000 0.000
Ca1 Ca 0.250 0.250 0.250
H1 H 0.000 0.000 0.500
```

Crystal system ... cubic
Calculated density ... 1.4 g cm⁻³
Total magnetization ... 0.0 μB per formula unit
D(E_F) ... 0.782 states/eV per atom

Least stable structure: iii

i | Compound: LiCa2MgH
Source: Alexandria via LeMat-Bulk
Functional: PBE
Structure: relaxed

```
data_LiCa2MgH
_chemical_formula_sum 'Li1 Ca2 Mg1 H1'
_cell_length_a 5.089
_cell_length_b 5.089
_cell_length_c 4.548
_cell_angle_alpha 90.00
_cell_angle_beta 90.00
_cell_angle_gamma 90.00
_symmetry_space_group_name_H-M 'P 4/m m m'
_symmetry_Int_Tables_number 123
_symmetry_space_group_name_Hall '-P 4 2'
loop_
_atom_site_label
_atom_site_type_symbol
_atom_site_fract_x
_atom_site_fract_y
_atom_site_fract_z
Li1 Li 0.000 0.000 0.000
Ca1 Ca 0.000 0.500 0.500
Mg1 Mg 0.500 0.500 0.000
H1 H 0.500 0.500 0.500
```

Crystal system ... tetragonal
Calculated density ... 1.6 g cm⁻³
Total magnetization ... 0.0 μB per formula unit
D(E_F) ... 0.617 states/eV per atom

ii | Compound: LiCa2MgH
Source: Alexandria via LeMat-Bulk
Functional: PBE
Structure: relaxed

```
data_LiCa2MgH
_chemical_formula_sum 'Li1 Ca2 Mg1 H1'
_cell_length_a 5.226
_cell_length_b 5.226
_cell_length_c 4.270
_cell_angle_alpha 90.00
_cell_angle_beta 90.00
_cell_angle_gamma 90.00
_symmetry_space_group_name_H-M 'P 4/m m m'
_symmetry_Int_Tables_number 123
_symmetry_space_group_name_Hall '-P 4 2'
loop_
_atom_site_label
_atom_site_type_symbol
_atom_site_fract_x
_atom_site_fract_y
_atom_site_fract_z
Li1 Li 0.000 0.000 0.000
Ca1 Ca 0.000 0.500 0.500
Mg1 Mg 0.500 0.500 0.000
H1 H 0.000 0.000 0.500
```

Crystal system ... tetragonal
Calculated density ... 1.6 g cm⁻³
Total magnetization ... 0.0 μB per formula unit
D(E_F) ... 0.663 states/eV per atom

Least stable structure: i

i | Compound: NaLiCa2H
Source: Alexandria via LeMat-Bulk
Functional: PBE
Structure: relaxed

```
data_NaLiCa2H
_chemical_formula_sum 'Na1 Li1 Ca2 H1'
_cell_length_a 5.330
_cell_length_b 5.330
_cell_length_c 4.523
_cell_angle_alpha 90.00
_cell_angle_beta 90.00
_cell_angle_gamma 90.00
_symmetry_space_group_name_H-M 'P 4/m m m'
_symmetry_Int_Tables_number 123
_symmetry_space_group_name_Hall '-P 4 2'
loop_
_atom_site_label
_atom_site_type_symbol
_atom_site_fract_x
_atom_site_fract_y
_atom_site_fract_z
Na1 Na 0.000 0.000 0.000
Li1 Li 0.500 0.500 0.000
Ca1 Ca 0.000 0.500 0.500
H1 H 0.500 0.500 0.500
```

Crystal system ... tetragonal
Calculated density ... 1.4 g cm⁻³
Total magnetization ... 0.0 μB per formula unit
D(E_F) ... 0.523 states/eV per atom

ii | Compound: NaLiCa2H
Source: Alexandria via LeMat-Bulk
Functional: PBE
Structure: relaxed

```
data_NaLiCa2H
_chemical_formula_sum 'Na1 Li1 Ca2 H1'
_cell_length_a 5.042
_cell_length_b 5.042
_cell_length_c 5.094
_cell_angle_alpha 90.00
_cell_angle_beta 90.00
_cell_angle_gamma 90.00
_symmetry_space_group_name_H-M 'P 4/m m m'
_symmetry_Int_Tables_number 123
_symmetry_space_group_name_Hall '-P 4 2'
loop_
_atom_site_label
_atom_site_type_symbol
_atom_site_fract_x
_atom_site_fract_y
_atom_site_fract_z
Na1 Na 0.000 0.000 0.000
Li1 Li 0.500 0.500 0.000
Ca1 Ca 0.000 0.500 0.500
H1 H 0.000 0.000 0.500
```

Crystal system ... tetragonal
Calculated density ... 1.4 g cm⁻³
Total magnetization ... 0.0 μB per formula unit
D(E_F) ... 0.471 states/eV per atom

Least stable structure: i